Model one:
A plane-wave DFT calculation with GGA-PBE was carried out for crystalline NaBeAg at its relaxed geometry.

a = 3.9258 Å, b = 5.5100 Å, c = 5.6874 Å
α = 96.71°, β = 109.87°, γ = 90.05°
With the nearest neighbours (Å) after each atom.
Sites, in units of the cell vectors:
1 Na 0.0000 0.0000 0.0000  5 Ag 2.94-3.27, 2 Be 3.12-3.27
2 Na 0.4607 0.4881 0.9199  2 Be 2.78-3.00
3 Be 0.2021 0.4990 0.4020  2 Be 2.26, 3 Ag 2.38-2.40
4 Be 0.7334 0.6992 0.4652  2 Be 2.26, 3 Ag 2.34-2.39
5 Ag 0.2688 0.9303 0.5363  3 Be 2.34-2.40
6 Ag 0.7205 0.2624 0.4391  3 Be 2.38-2.39

## Properties
Symmetry = P1
DOS(E_F) = 0.9 states/eV/f.u.
Magnetization = 0.00 μB/f.u.



Model two:
A plane-wave DFT calculation with GGA-PBE was carried out for crystalline NaBeAg at its relaxed geometry.

a = 10.5522 Å, b = 3.6624 Å, c = 2.9621 Å
α = 90.00°, β = 90.22°, γ = 90.00°
With the nearest neighbours (Å) after each atom.
Sites, in units of the cell vectors:
1 Na 0.0000 0.0000 0.0000  3 Be 2.81-3.07, 2 Na 2.96
2 Na 0.5000 0.5000 0.0000  3 Be 2.81-3.07, 2 Na 2.96
3 Be 0.2340 0.5000 0.9824  4 Ag 2.38
4 Be 0.7340 0.0000 0.9824  4 Ag 2.38
5 Ag 0.2675 0.0000 0.4846  4 Be 2.38
6 Ag 0.7675 0.5000 0.4846  4 Be 2.38

## Properties
Symmetry = Cm
DOS(E_F) = 0.5 states/eV/f.u.
Magnetization = 0.00 μB/f.u.



Model three:
A plane-wave DFT calculation with GGA-PBE was carried out for crystalline NaBeAg at its relaxed geometry.

a = 10.7708 Å, b = 3.3764 Å, c = 6.4197 Å
α = 90.00°, β = 102.12°, γ = 90.00°
With the nearest neighbours (Å) after each atom.
Sites, in units of the cell vectors:
1 Na 0.0000 0.0000 0.0000  6 Be 2.91-3.11, 2 Na 3.21
2 Na 0.0007 0.0000 0.5003  2 Ag 2.92, 2 Na 3.21
3 Na 0.5000 0.5000 0.0000  6 Be 2.91-3.11, 2 Na 3.21
4 Na 0.5007 0.5000 0.5003  2 Ag 2.92, 2 Na 3.21
5 Be 0.2235 0.5000 0.9035  2 Be 2.08, 2 Ag 2.32
6 Be 0.2761 0.0000 0.0908  2 Be 2.08, 2 Ag 2.32
7 Be 0.7235 0.0000 0.9035  2 Be 2.08, 2 Ag 2.32
8 Be 0.7761 0.5000 0.0908  2 Be 2.08, 2 Ag 2.32
9 Ag 0.2293 0.5000 0.3096  3 Be 2.32-2.59
10 Ag 0.2722 0.0000 0.6865  3 Be 2.32-2.59
11 Ag 0.7293 0.0000 0.3096  3 Be 2.32-2.59
12 Ag 0.7722 0.5000 0.6865  3 Be 2.32-2.59

## Properties
Symmetry = Cm
DOS(E_F) = 0.5 states/eV/f.u.
Magnetization = 0.00 μB/f.u.



Which structure is the most stable? The one labeled model one.



Model one:
A plane-wave DFT calculation with GGA-PBE was carried out for crystalline NaBe2Ag2 at its relaxed geometry.

a = 3.4129 Å, b = 3.4129 Å, c = 13.9488 Å
α = 90.00°, β = 90.00°, γ = 90.00°
With the nearest neighbours (Å) after each atom.
Sites, in units of the cell vectors:
1 Na 0.0000 0.0000 0.0000  8 Ag 2.98
2 Na 0.5000 0.5000 0.5000  8 Ag 2.98
3 Be 0.0000 0.5000 0.2500  4 Be 2.41, 4 Ag 2.43
4 Be 0.0000 0.5000 0.7500  4 Be 2.41, 4 Ag 2.43
5 Be 0.5000 0.0000 0.2500  4 Be 2.41, 4 Ag 2.43
6 Be 0.5000 0.0000 0.7500  4 Be 2.41, 4 Ag 2.43
7 Ag 0.0000 0.0000 0.3741  4 Be 2.43
8 Ag 0.0000 0.0000 0.6259  4 Be 2.43
9 Ag 0.5000 0.5000 0.1259  4 Be 2.43
10 Ag 0.5000 0.5000 0.8741  4 Be 2.43

## Properties
Symmetry = I4/mmm
DOS(E_F) = 1.5 states/eV/f.u.
Magnetization = 0.00 μB/f.u.



Model two:
A plane-wave DFT calculation with GGA-PBE was carried out for crystalline NaBe2Ag2 at its relaxed geometry.

a = 7.3502 Å, b = 7.3502 Å, c = 2.7540 Å
α = 90.00°, β = 90.00°, γ = 90.00°
With the nearest neighbours (Å) after each atom.
Sites, in units of the cell vectors:
1 Na 0.0000 0.0000 0.0000  2 Na 2.75, 4 Be 2.98, 8 Ag 3.03
2 Na 0.5000 0.5000 0.0000  2 Na 2.75, 4 Be 2.98, 8 Ag 3.03
3 Be 0.1090 0.3910 0.0000  1 Be 2.27
4 Be 0.3910 0.8910 0.0000  1 Be 2.27
5 Be 0.6090 0.1090 0.0000  1 Be 2.27
6 Be 0.8910 0.6090 0.0000  1 Be 2.27
7 Ag 0.1808 0.6808 0.5000  6 Be 2.58-2.59, 2 Ag 2.75
8 Ag 0.3192 0.1808 0.5000  6 Be 2.58-2.59, 2 Ag 2.75
9 Ag 0.6808 0.8192 0.5000  6 Be 2.58-2.59, 2 Ag 2.75
10 Ag 0.8192 0.3192 0.5000  6 Be 2.58-2.59, 2 Ag 2.75

## Properties
Symmetry = P4/mbm
DOS(E_F) = 1.1 states/eV/f.u.
Magnetization = 0.00 μB/f.u.



Which structure is the most stable? The one labeled model two.



Model one:
A plane-wave DFT calculation with GGA-PBE was carried out for crystalline Na3BeAg at its relaxed geometry.

a = 5.3144 Å, b = 5.3144 Å, c = 5.3144 Å
α = 90.00°, β = 90.00°, γ = 90.00°
With the nearest neighbours (Å) after each atom.
Sites, in units of the cell vectors:
1 Na 0.0000 0.0000 0.5000  2 Be 2.66
2 Na 0.0000 0.5000 0.0000  2 Be 2.66
3 Na 0.5000 0.0000 0.0000  2 Be 2.66
4 Be 0.0000 0.0000 0.0000  6 Na 2.66
5 Ag 0.5000 0.5000 0.5000  12 Na 3.76

## Properties
Symmetry = Pm-3m
DOS(E_F) = 3.1 states/eV/f.u.
Magnetization = 0.00 μB/f.u.



Model two:
A plane-wave DFT calculation with GGA-PBE was carried out for crystalline Na3BeAg at its relaxed geometry.

a = 5.5281 Å, b = 5.5281 Å, c = 5.5281 Å
α = 90.00°, β = 90.00°, γ = 90.00°
With the nearest neighbours (Å) after each atom.
Sites, in units of the cell vectors:
1 Na 0.0000 0.0000 0.5000  2 Ag 2.76
2 Na 0.0000 0.5000 0.0000  2 Ag 2.76
3 Na 0.5000 0.0000 0.0000  2 Ag 2.76
4 Be 0.5000 0.5000 0.5000  12 Na 3.91
5 Ag 0.0000 0.0000 0.0000  6 Na 2.76

## Properties
Symmetry = Pm-3m
DOS(E_F) = 2.6 states/eV/f.u.
Magnetization = 0.00 μB/f.u.



Which structure is the most stable? The one labeled model one.



Model one:
A plane-wave DFT calculation with GGA-PBE was carried out for crystalline NaBeAg3 at its relaxed geometry.

a = 4.8792 Å, b = 4.8792 Å, c = 4.8792 Å
α = 90.00°, β = 90.00°, γ = 90.00°
With the nearest neighbours (Å) after each atom.
Sites, in units of the cell vectors:
1 Na 0.0000 0.0000 0.0000  6 Ag 2.44
2 Be 0.5000 0.5000 0.5000  12 Ag 3.45
3 Ag 0.0000 0.0000 0.5000  2 Na 2.44
4 Ag 0.0000 0.5000 0.0000  2 Na 2.44
5 Ag 0.5000 0.0000 0.0000  2 Na 2.44

## Properties
Symmetry = Pm-3m
DOS(E_F) = 2.0 states/eV/f.u.
Magnetization = 0.00 μB/f.u.



Model two:
A plane-wave DFT calculation with GGA-PBE was carried out for crystalline NaBeAg3 at its relaxed geometry.

a = 4.5830 Å, b = 4.5830 Å, c = 4.5830 Å
α = 90.00°, β = 90.00°, γ = 90.00°
With the nearest neighbours (Å) after each atom.
Sites, in units of the cell vectors:
1 Na 0.0000 0.0000 0.0000  12 Ag 3.24
2 Be 0.5000 0.5000 0.5000  6 Ag 2.29
3 Ag 0.0000 0.5000 0.5000  2 Be 2.29
4 Ag 0.5000 0.0000 0.5000  2 Be 2.29
5 Ag 0.5000 0.5000 0.0000  2 Be 2.29

## Properties
Symmetry = Pm-3m
DOS(E_F) = 1.8 states/eV/f.u.
Magnetization = 0.00 μB/f.u.



Which structure is the most stable? The one labeled model two.



Model one:
A plane-wave DFT calculation with GGA-PBE was carried out for crystalline BeNiAg3 at its relaxed geometry.

a = 4.7382 Å, b = 4.7382 Å, c = 4.7382 Å
α = 90.00°, β = 90.00°, γ = 90.00°
With the nearest neighbours (Å) after each atom.
Sites, in units of the cell vectors:
1 Be 0.0000 0.0000 0.0000  12 Ag 3.35
2 Ni 0.5000 0.5000 0.5000  6 Ag 2.37
3 Ag 0.0000 0.5000 0.5000  2 Ni 2.37
4 Ag 0.5000 0.0000 0.5000  2 Ni 2.37
5 Ag 0.5000 0.5000 0.0000  2 Ni 2.37

## Properties
Symmetry = Pm-3m
DOS(E_F) = 3.4 states/eV/f.u.
Magnetization = 0.01 μB/f.u.



Model two:
A plane-wave DFT calculation with GGA-PBE was carried out for crystalline BeNiAg3 at its relaxed geometry.

a = 4.3520 Å, b = 4.3520 Å, c = 4.3520 Å
α = 90.00°, β = 90.00°, γ = 90.00°
With the nearest neighbours (Å) after each atom.
Sites, in units of the cell vectors:
1 Be 0.0000 0.0000 0.0000  6 Ag 2.18
2 Ni 0.5000 0.5000 0.5000  12 Ag 3.08
3 Ag 0.0000 0.0000 0.5000  2 Be 2.18
4 Ag 0.0000 0.5000 0.0000  2 Be 2.18
5 Ag 0.5000 0.0000 0.0000  2 Be 2.18

## Properties
Symmetry = Pm-3m
DOS(E_F) = 3.3 states/eV/f.u.
Magnetization = 0.00 μB/f.u.



Which structure is the most stable? The one labeled model two.



Model one:
A plane-wave DFT calculation with GGA-PBE was carried out for crystalline BeAgO at its relaxed geometry.

a = 2.7163 Å, b = 4.6939 Å, c = 7.2399 Å
α = 89.98°, β = 89.85°, γ = 89.99°
With the nearest neighbours (Å) after each atom.
Sites, in units of the cell vectors:
1 Be 0.0000 0.0000 0.0000  3 O 1.57
2 Be 0.5000 0.5000 0.0022  3 O 1.57
3 Ag 0.4819 0.1794 0.5321  6 Ag 2.72-2.75
4 Ag 0.9824 0.6794 0.4697  6 Ag 2.72-2.75
5 O 0.0000 0.6665 0.0048  3 Be 1.57
6 O 0.4999 0.1665 0.9974  3 Be 1.57

## Properties
Symmetry = P1
DOS(E_F) = 0.1 states/eV/f.u.
Magnetization = 0.00 μB/f.u.



Model two:
A plane-wave DFT calculation with GGA-PBE was carried out for crystalline BeAgO at its relaxed geometry.

a = 2.7226 Å, b = 2.7229 Å, c = 7.3666 Å
α = 82.10°, β = 80.77°, γ = 60.01°
With the nearest neighbours (Å) after each atom.
Sites, in units of the cell vectors:
1 Be 0.0000 0.0000 0.0000  3 O 1.57
2 Ag 0.4789 0.5457 0.4956  6 Ag 2.72
3 O 0.6667 0.6666 0.0001  3 Be 1.57

## Properties
Symmetry = P1
DOS(E_F) = 1.2 states/eV/f.u.
Magnetization = 0.00 μB/f.u.



Model three:
A plane-wave DFT calculation with GGA-PBE was carried out for crystalline BeAgO at its relaxed geometry.

a = 10.0970 Å, b = 2.9225 Å, c = 7.2266 Å
α = 90.00°, β = 112.71°, γ = 90.00°
With the nearest neighbours (Å) after each atom.
Sites, in units of the cell vectors:
1 Be 0.1726 0.0000 0.4623  2 O 1.49
2 Be 0.3274 0.5000 0.5377  2 O 1.49
3 Be 0.6726 0.5000 0.4623  2 O 1.49
4 Be 0.8274 0.0000 0.5377  2 O 1.49
5 Ag 0.1239 0.5000 0.9637  5 Ag 2.75-2.92
6 Ag 0.3761 0.0000 0.0363  5 Ag 2.75-2.92
7 Ag 0.6239 0.0000 0.9637  5 Ag 2.75-2.92
8 Ag 0.8761 0.5000 0.0363  5 Ag 2.75-2.92
9 O 0.1422 0.5000 0.4530  2 Be 1.49
10 O 0.3578 0.0000 0.5470  2 Be 1.49
11 O 0.6422 0.0000 0.4530  2 Be 1.49
12 O 0.8578 0.5000 0.5470  2 Be 1.49

## Properties
Symmetry = C2/m
DOS(E_F) = 0.3 states/eV/f.u.
Magnetization = 0.00 μB/f.u.



Which structure is the most stable? The one labeled model one.